Arrangement i

Density functional theory data (PBE-GGA) for RbNaRe after structural relaxation.

Spin magnetization ... 1.094 μB per atom
Mass density ... 4.1 Mg/m³

Unit cell a=7.7873 b=7.7873 c=7.7873 alpha=90.00 beta=90.00 gamma=90.00
Space group F-43m (No. 216)
Symmetry-distinct sites (fractional):
Rb  0.0000  0.0000  0.0000 [4 per cell]
Na  0.2500  0.2500  0.7500 [4 per cell]
Re  0.2500  0.2500  0.2500 [4 per cell]

Arrangement ii

Density functional theory data (PBE-GGA) for RbNaRe after structural relaxation.

Spin magnetization ... 1.094 μB per atom
Mass density ... 4.1 Mg/m³

Unit cell a=7.8163 b=7.8163 c=7.8163 alpha=90.00 beta=90.00 gamma=90.00
Space group F-43m (No. 216)
Symmetry-distinct sites (fractional):
Rb  0.0000  0.0000  0.0000 [4 per cell]
Na  0.0000  0.0000  0.5000 [4 per cell]
Re  0.2500  0.2500  0.7500 [4 per cell]

Energy relative to the most stable one, in meV per atom: arrangement i 207; arrangement ii 0

Arrangement i

Density functional theory data (PBE-GGA) for Na2Re after structural relaxation.

Spin magnetization ... 0.010 μB per atom
Mass density ... 7.7 Mg/m³

Unit cell a=7.3787 b=7.3787 c=7.3787 alpha=90.00 beta=90.00 gamma=90.00
Space group Fd-3m (No. 227, origin choice 2)
Symmetry-distinct sites (fractional):
Na  0.0000  0.0000  0.0000 [16 per cell]
Re  0.1250  0.1250  0.6250 [8 per cell]

Arrangement ii

Density functional theory data (PBE-GGA) for Na2Re after structural relaxation.

Spin magnetization ... 0.071 μB per atom
Mass density ... 6.5 Mg/m³

Unit cell a=5.8792 b=5.8792 c=7.9378 alpha=90.00 beta=90.00 gamma=120.00
Space group P6_3/mmc (No. 194)
Symmetry-distinct sites (fractional):
Na  0.0000  0.0000  0.0000 [2 per cell]
Na  0.1814  0.3628  0.2500 [6 per cell]
Re  0.3333  0.6667  0.6119 [4 per cell]

Energy relative to the most stable one, in meV per atom: arrangement i 311; arrangement ii 0

Arrangement i

Density functional theory data (PBE-GGA) for NaReSiW after structural relaxation.

Spin magnetization ... 0.000 μB per atom
Mass density ... 11.7 Mg/m³

Unit cell a=6.1998 b=6.1998 c=6.1998 alpha=90.00 beta=90.00 gamma=90.00
Space group F-43m (No. 216)
Symmetry-distinct sites (fractional):
Na  0.0000  0.0000  0.0000 [4 per cell]
Re  0.0000  0.0000  0.5000 [4 per cell]
Si  0.2500  0.2500  0.2500 [4 per cell]
W  0.2500  0.2500  0.7500 [4 per cell]

Arrangement ii

Density functional theory data (PBE-GGA) for NaReSiW after structural relaxation.

Spin magnetization ... 0.001 μB per atom
Mass density ... 11.6 Mg/m³

Unit cell a=6.2230 b=6.2230 c=6.2230 alpha=90.00 beta=90.00 gamma=90.00
Space group F-43m (No. 216)
Symmetry-distinct sites (fractional):
Na  0.0000  0.0000  0.0000 [4 per cell]
Re  0.2500  0.2500  0.7500 [4 per cell]
Si  0.2500  0.2500  0.2500 [4 per cell]
W  0.0000  0.0000  0.5000 [4 per cell]

Energy relative to the most stable one, in meV per atom: arrangement i 0; arrangement ii 112

Arrangement i

Density functional theory data (PBE-GGA) for NaReSnW after structural relaxation.

Spin magnetization ... 0.000 μB per atom
Mass density ... 12.6 Mg/m³

Unit cell a=6.4685 b=6.4685 c=6.4685 alpha=90.00 beta=90.00 gamma=90.00
Space group F-43m (No. 216)
Symmetry-distinct sites (fractional):
Na  0.0000  0.0000  0.0000 [4 per cell]
Re  0.0000  0.0000  0.5000 [4 per cell]
Sn  0.2500  0.2500  0.2500 [4 per cell]
W  0.2500  0.2500  0.7500 [4 per cell]

Arrangement ii

Density functional theory data (PBE-GGA) for NaReSnW after structural relaxation.

Spin magnetization ... 0.001 μB per atom
Mass density ... 12.4 Mg/m³

Unit cell a=6.4941 b=6.4941 c=6.4941 alpha=90.00 beta=90.00 gamma=90.00
Space group F-43m (No. 216)
Symmetry-distinct sites (fractional):
Na  0.0000  0.0000  0.0000 [4 per cell]
Re  0.2500  0.2500  0.7500 [4 per cell]
Sn  0.2500  0.2500  0.2500 [4 per cell]
W  0.0000  0.0000  0.5000 [4 per cell]

Energy relative to the most stable one, in meV per atom: arrangement i 0; arrangement ii 118

Arrangement i

Density functional theory data (PBE-GGA) for NaURe after structural relaxation.

Spin magnetization ... 0.000 μB per atom
Mass density ... 11.0 Mg/m³

Unit cell a=6.4607 b=6.4607 c=6.4607 alpha=90.00 beta=90.00 gamma=90.00
Space group F-43m (No. 216)
Symmetry-distinct sites (fractional):
Na  0.0000  0.0000  0.0000 [4 per cell]
U  0.2500  0.2500  0.2500 [4 per cell]
Re  0.0000  0.0000  0.5000 [4 per cell]

Arrangement ii

Density functional theory data (PBE-GGA) for NaURe after structural relaxation.

Spin magnetization ... 0.007 μB per atom
Mass density ... 11.1 Mg/m³

Unit cell a=6.4426 b=6.4426 c=6.4426 alpha=90.00 beta=90.00 gamma=90.00
Space group F-43m (No. 216)
Symmetry-distinct sites (fractional):
Na  0.0000  0.0000  0.0000 [4 per cell]
U  0.0000  0.0000  0.5000 [4 per cell]
Re  0.2500  0.2500  0.7500 [4 per cell]

Energy relative to the most stable one, in meV per atom: arrangement i 414; arrangement ii 0

Arrangement i

Density functional theory data (PBE-GGA) for NaSmZnS3 after structural relaxation.

Spin magnetization ... 0.000 μB per atom
Mass density ... 4.3 Mg/m³

Unit cell a=11.2355 b=4.0243 c=11.5372 alpha=90.00 beta=90.00 gamma=90.00
Space group Pnma (No. 62)
Symmetry-distinct sites (fractional):
Na  0.1539  0.2500  0.0067 [4 per cell]
Sm  0.0240  0.2500  0.6765 [4 per cell]
Zn  0.2467  0.2500  0.2922 [4 per cell]
S  0.0557  0.7500  0.8465 [4 per cell]
S  0.1054  0.2500  0.4377 [4 per cell]
S  0.2157  0.7500  0.1845 [4 per cell]

Arrangement ii

Density functional theory data (PBE-GGA) for NaSmZnS3 after structural relaxation.

Spin magnetization ... 0.000 μB per atom
Mass density ... 3.8 Mg/m³

Unit cell a=7.7799 b=3.9669 c=9.6969 alpha=90.00 beta=104.16 gamma=90.00
Space group P2_1/m (No. 11)
Symmetry-distinct sites (fractional):
Na  0.2441  0.2500  0.2596 [2 per cell]
Sm  0.3045  0.7500  0.8649 [2 per cell]
Zn  0.0780  0.2500  0.6038 [2 per cell]
S  0.0470  0.2500  0.8348 [2 per cell]
S  0.2216  0.7500  0.5475 [2 per cell]
S  0.4496  0.7500  0.1537 [2 per cell]

Arrangement iii

Density functional theory data (PBE-GGA) for NaSmZnS3 after structural relaxation.

Spin magnetization ... 0.000 μB per atom
Mass density ... 4.1 Mg/m³

Unit cell a=18.1417 b=3.9659 c=7.8406 alpha=90.00 beta=104.89 gamma=90.00
Space group C2/m (No. 12)
Symmetry-distinct sites (fractional):
Na  0.1218  0.0000  0.0774 [4 per cell]
Sm  0.1737  0.0000  0.5942 [4 per cell]
Zn  0.0309  0.5000  0.7320 [4 per cell]
S  0.0000  0.0000  0.5000 [2 per cell]
S  0.0000  0.5000  0.0000 [2 per cell]
S  0.1628  0.5000  0.8309 [4 per cell]
S  0.1715  0.5000  0.3491 [4 per cell]

Energy relative to the most stable one, in meV per atom: arrangement i 0; arrangement ii 25; arrangement iii 115